1.
MnSiIr2 at its PBEsol-relaxed geometry, computed with meta-GGA SCAN.

Unit cell a=4.366 b=4.366 c=2.790 alpha=90.00 beta=90.00 gamma=101.75
Sites, in units of the cell vectors:
Mn 0.000 0.000 0.000
Si 0.500 0.500 0.000
Ir 0.000 0.500 0.500
Ir 0.500 0.000 0.500

Properties
* formation energy (no corrections): -0.592 eV/atom
* space group: Cmmm (65)
* V: 52 Å³/f.u.



2.
TaMnIr2 at its PBEsol-relaxed geometry, computed with meta-GGA SCAN.

Unit cell a=4.353 b=4.353 c=4.353 alpha=60.00 beta=60.00 gamma=60.00
Sites, in units of the cell vectors:
Ta 0.000 0.000 0.000
Mn 0.750 0.750 0.750
Ir 0.250 0.250 0.250
Ir 0.500 0.500 0.500

Properties
* space group: F-43m (216)
* V: 58 Å³/f.u.
* formation energy from the elements: -0.260 eV per atom



no.,magnetization (μB per formula unit)
1,3.59
2,3.85